A relaxed structure of MgSnGeHCO, computed with PBE-GGA.

It has space group P1 (No. 1), with a = 3.271 Å, b = 5.819 Å, c = 6.231 Å, α = 107.29°, β = 103.16° and γ = 105.37°. The inequivalent atoms are Mg at (0.000, 0.000, 0.000), Sn at (0.417, 0.598, 0.331), Ge at (0.795, 0.212, 0.502), H at (0.358, 0.968, 0.681), C at (0.670, 0.954, 0.644) and O at (0.560, 0.973, 0.171).

The final energy is -29.5 eV/cell. The calculation puts the energy above the lowest structure with this stoichiometry at 0.638 eV per formula unit.

***

A relaxed structure of MgSnGeHCO, computed with PBE-GGA.

It has space group P1 (No. 1), with a = 3.232 Å, b = 5.000 Å, c = 6.330 Å, α = 77.86°, β = 75.26° and γ = 89.91°. The inequivalent atoms are Mg at (0.000, 0.000, 0.000), Sn at (0.335, 0.473, 0.328), Ge at (0.593, 0.594, 0.811), H at (0.215, 0.917, 0.563), C at (0.181, 0.693, 0.633) and O at (0.549, 0.218, 0.901).

The final energy is -30.1 eV/cell. The calculation puts the energy above the lowest structure with this stoichiometry at 0.091 eV per formula unit.

***

A relaxed structure of MgSnGeHCO, computed with PBE-GGA.

It has space group P1 (No. 1), with a = 3.298 Å, b = 5.027 Å, c = 6.816 Å, α = 93.17°, β = 104.00° and γ = 109.15°. The inequivalent atoms are Mg at (0.000, 0.000, 0.000), Sn at (0.540, 0.665, 0.395), Ge at (0.170, 0.506, 0.835), H at (0.281, 0.308, 0.258), C at (0.676, 0.629, 0.723) and O at (0.454, 0.822, 0.086).

The final energy is -28.6 eV/cell. The calculation puts the energy above the lowest structure with this stoichiometry at 1.593 eV per formula unit.

***

A relaxed structure of MgSnGeHCO, computed with PBE-GGA.

It has space group P1 (No. 1), with a = 3.229 Å, b = 5.275 Å, c = 6.603 Å, α = 70.16°, β = 75.87° and γ = 72.20°. The inequivalent atoms are Mg at (0.000, 0.000, 0.000), Sn at (0.157, 0.206, 0.485), Ge at (0.827, 0.571, 0.778), H at (0.487, 0.735, 0.292), C at (0.239, 0.795, 0.731) and O at (0.448, 0.919, 0.185).

The final energy is -29.9 eV/cell. The calculation puts the energy above the lowest structure with this stoichiometry at 0.265 eV per formula unit.

***

A relaxed structure of MgSnGeHCO, computed with PBE-GGA.

It has space group P1 (No. 1), with a = 3.250 Å, b = 5.938 Å, c = 6.053 Å, α = 93.54°, β = 105.52° and γ = 105.55°. The inequivalent atoms are Mg at (0.000, 0.000, 0.000), Sn at (0.135, 0.758, 0.506), Ge at (0.879, 0.266, 0.497), H at (0.032, 0.296, 0.777), C at (0.241, 0.113, 0.371) and O at (0.367, 0.872, 0.859).

The final energy is -29.6 eV/cell. The calculation puts the energy above the lowest structure with this stoichiometry at 0.532 eV per formula unit.

***

A relaxed structure of MgSnGeHCO, computed with PBE-GGA.

It has space group P1 (No. 1), with a = 3.272 Å, b = 5.331 Å, c = 6.190 Å, α = 100.99°, β = 90.29° and γ = 107.53°. The inequivalent atoms are Mg at (0.000, 0.000, 0.000), Sn at (0.760, 0.529, 0.271), Ge at (0.225, 0.455, 0.767), H at (0.912, 0.839, 0.645), C at (0.813, 0.636, 0.687) and O at (0.557, 0.112, 0.157).

The final energy is -29.8 eV/cell. The calculation puts the energy above the lowest structure with this stoichiometry at 0.375 eV per formula unit.

***

A relaxed structure of MgSnGeHCO, computed with PBE-GGA.

It has space group Cm (No. 8), with a = 12.056 Å, b = 3.253 Å, c = 5.449 Å, α = 90.00°, β = 111.38° and γ = 90.00°. The inequivalent atoms are Mg at (0.000, 0.000, 0.000), Sn at (0.408, 0.000, 0.395), Ge at (0.178, 0.500, 0.479), H at (0.192, 0.000, 0.066), C at (0.198, 0.000, 0.276) and O at (0.454, 0.000, 0.799).

The final energy is -59.7 eV/cell. The calculation puts the energy above the lowest structure with this stoichiometry at 0.303 eV per formula unit.

***

A relaxed structure of MgSnGeHCO, computed with PBE-GGA.

It has space group Cm (No. 8), with a = 5.740 Å, b = 3.412 Å, c = 9.592 Å, α = 90.00°, β = 90.85° and γ = 90.00°. The inequivalent atoms are Mg at (0.000, 0.000, 0.000), Sn at (0.356, 0.500, 0.652), Ge at (0.395, 0.000, 0.304), H at (0.107, 0.000, 0.470), C at (0.291, 0.000, 0.506) and O at (0.338, 0.000, 0.008).

The final energy is -58.8 eV/cell. The calculation puts the energy above the lowest structure with this stoichiometry at 0.750 eV per formula unit.

***

A relaxed structure of GeTeHC2, computed with PBE-GGA.

It has space group P4/mmm (No. 123), with a = 4.133 Å, b = 4.133 Å, c = 5.803 Å, α = 90.00°, β = 90.00° and γ = 90.00°. The inequivalent atoms are Ge at (0.000, 0.000, 0.000), Te at (0.000, 0.000, 0.500), H at (0.500, 0.500, 0.000) and C at (0.000, 0.500, 0.500).

The final energy is -16.3 eV/cell. The calculation puts the energy above the lowest structure with this stoichiometry at 2.050 eV per formula unit.

***

A relaxed structure of GeTeHC2, computed with PBE-GGA.

It has space group P4/mmm (No. 123), with a = 4.209 Å, b = 4.209 Å, c = 3.466 Å, α = 90.00°, β = 90.00° and γ = 90.00°. The inequivalent atoms are Ge at (0.000, 0.000, 0.000), Te at (0.500, 0.500, 0.000), H at (0.000, 0.000, 0.500) and C at (0.000, 0.500, 0.500).

The final energy is -18.3 eV/cell. The calculation puts the energy above the lowest structure with this stoichiometry at 0.000 eV per formula unit.

***

A relaxed structure of Hf4GeC, computed with PBE-GGA.

It has space group P2_1/c (No. 14), with a = 6.084 Å, b = 6.081 Å, c = 6.081 Å, α = 90.00°, β = 95.72° and γ = 90.00°. The inequivalent atoms are Hf at (0.111, 0.160, 0.182), Hf at (0.327, 0.631, 0.103), Ge at (0.500, 0.000, 0.000) and C at (0.000, 0.000, 0.500).

The final energy is -111.4 eV/cell.

***

A relaxed structure of Hf6Ge2C, computed with PBE-GGA.

It has space group P4_2/mnm (No. 136), with a = 5.808 Å, b = 5.808 Å, c = 11.306 Å, α = 90.00°, β = 90.00° and γ = 90.00°. The inequivalent atoms are Hf at (0.190, 0.190, 0.142), Hf at (0.221, 0.221, 0.500), Ge at (0.000, 0.000, 0.329) and C at (0.000, 0.000, 0.000).

The final energy is -160.0 eV/cell.

***

A relaxed structure of Hf3Ge2C, computed with PBE-GGA.

It has space group C2/c (No. 15), with a = 7.141 Å, b = 10.091 Å, c = 6.014 Å, α = 90.00°, β = 107.27° and γ = 90.00°. The inequivalent atoms are Hf at (0.172, 0.081, 0.489), Hf at (0.250, 0.250, 0.000), Ge at (0.000, 0.293, 0.250), Ge at (0.000, 0.443, 0.750) and C at (0.000, 0.086, 0.750).

The final energy is -206.3 eV/cell.

***

A relaxed structure of Hf6GeC2, computed with PBE-GGA.

It has space group C2/m (No. 12), with a = 11.036 Å, b = 4.461 Å, c = 7.820 Å, α = 90.00°, β = 119.46° and γ = 90.00°. The inequivalent atoms are Hf at (0.026, 0.000, 0.194), Hf at (0.163, 0.500, 0.565), Hf at (0.191, 0.500, 0.081), Ge at (0.000, 0.000, 0.500) and C at (0.184, 0.000, 0.088).

The final energy is -171.6 eV/cell.

***

A relaxed structure of Hf6Ge3C, computed with PBE-GGA.

It has space group C2/m (No. 12), with a = 11.024 Å, b = 5.946 Å, c = 7.275 Å, α = 90.00°, β = 124.45° and γ = 90.00°. The inequivalent atoms are Hf at (0.078, 0.247, 0.352), Hf at (0.224, 0.000, 0.830), Ge at (0.000, 0.500, 0.000), Ge at (0.225, 0.500, 0.755) and C at (0.000, 0.000, 0.500).

The final energy is -172.5 eV/cell.

***

A relaxed structure of Hf4GeC2, computed with PBE-GGA.

It has space group Cmcm (No. 63), with a = 3.394 Å, b = 11.193 Å, c = 11.639 Å, α = 90.00°, β = 90.00° and γ = 90.00°. The inequivalent atoms are Hf at (0.000, 0.000, 0.000), Hf at (0.000, 0.262, 0.108), Hf at (0.000, 0.423, 0.750), Ge at (0.000, 0.108, 0.750) and C at (0.000, 0.365, 0.561).

The final energy is -274.0 eV/cell.

***

A relaxed structure of HfGe3C, computed with PBE-GGA.

It has space group Pm-3m (No. 221), with a = 4.344 Å, b = 4.344 Å, c = 4.344 Å, α = 90.00°, β = 90.00° and γ = 90.00°. The inequivalent atoms are Hf at (0.000, 0.000, 0.000), Ge at (0.000, 0.500, 0.500) and C at (0.500, 0.500, 0.500).

The final energy is -28.9 eV/cell. The calculation puts the energy above the lowest structure with this stoichiometry at 0.000 eV per formula unit.

***

A relaxed structure of Hf3GeC, computed with PBE-GGA.

It has space group P2_1/m (No. 11), with a = 6.515 Å, b = 3.620 Å, c = 8.282 Å, α = 90.00°, β = 110.35° and γ = 90.00°. The inequivalent atoms are Hf at (0.170, 0.250, 0.148), Hf at (0.197, 0.750, 0.484), Hf at (0.298, 0.750, 0.882), Ge at (0.500, 0.250, 0.728) and C at (0.012, 0.250, 0.349).

The final energy is -92.2 eV/cell.

***

A relaxed structure of HfGe2C, computed with PBE-GGA.

It has space group I-42d (No. 122), with a = 6.341 Å, b = 6.341 Å, c = 6.285 Å, α = 90.00°, β = 90.00° and γ = 90.00°. The inequivalent atoms are Hf at (0.000, 0.000, 0.000), Ge at (0.161, 0.250, 0.625) and C at (0.000, 0.000, 0.500).

The final energy is -106.5 eV/cell.

***

A relaxed structure of Hf7Ge2C2, computed with PBE-GGA.

It has space group C2/m (No. 12), with a = 7.047 Å, b = 10.257 Å, c = 6.612 Å, α = 90.00°, β = 100.72° and γ = 90.00°. The inequivalent atoms are Hf at (0.000, 0.000, 0.000), Hf at (0.085, 0.500, 0.794), Hf at (0.215, 0.292, 0.206), Ge at (0.000, 0.306, 0.500) and C at (0.215, 0.500, 0.131).

The final energy is -197.5 eV/cell.